No. 1
{"formula": "Sb5Au4", "functional": "meta-GGA SCAN", "state": "single point on PBEsol structure", "final_energy_ev_per_atom": -51.265, "m_tot_mub_per_cell": 0.0, "spacegroup": "I4/mmm", "mass_density_g_cm3": 11.47, "lattice_angstrom": [[-4.3573, 4.3573, 2.6615], [4.3573, -4.3573, 2.6615], [4.3573, 4.3573, -2.6615]], "species": ["Sb", "Sb", "Sb", "Sb", "Sb", "Au", "Au", "Au", "Au"], "fractional_positions": [[0.0000, 0.0000, 0.0000], [0.3166, 0.3166, 0.6331], [0.3166, 0.6834, 0.0000], [0.6834, 0.3166, 0.0000], [0.6834, 0.6834, 0.3669], [0.0000, 0.3418, 0.3418], [0.0000, 0.6582, 0.6582], [0.3418, 0.0000, 0.3418], [0.6582, 0.0000, 0.6582]]}

No. 2
{"formula": "Sb2Au3", "functional": "meta-GGA SCAN", "state": "single point on PBEsol structure", "final_energy_ev_per_atom": -56.520, "m_tot_mub_per_cell": 0.0, "spacegroup": "R-3m", "mass_density_g_cm3": 12.72, "lattice_angstrom": [[1.9938, 1.1511, 7.9074], [-1.9938, 1.1511, 7.9074], [0.0000, -2.3023, 7.9074]], "species": ["Sb", "Sb", "Au", "Au", "Au"], "fractional_positions": [[0.0963, 0.0963, 0.0963], [0.9037, 0.9037, 0.9037], [0.3017, 0.3017, 0.3017], [0.5000, 0.5000, 0.5000], [0.6983, 0.6983, 0.6983]]}

No. 3
{"formula": "Sb5Au24", "functional": "meta-GGA SCAN", "state": "single point on PBEsol structure", "final_energy_ev_per_atom": -63.587, "m_tot_mub_per_cell": 0.0, "spacegroup": "I-43m", "mass_density_g_cm3": 16.46, "lattice_angstrom": [[-5.1245, 5.1245, 5.1245], [5.1245, -5.1245, 5.1245], [5.1245, 5.1245, -5.1245]], "species": ["Sb", "Sb", "Sb", "Sb", "Sb", "Au", "Au", "Au", "Au", "Au", "Au", "Au", "Au", "Au", "Au", "Au", "Au", "Au", "Au", "Au", "Au", "Au", "Au", "Au", "Au", "Au", "Au", "Au", "Au"], "fractional_positions": [[0.0000, 0.0000, 0.0000], [0.0000, 0.0000, 0.6187], [0.0000, 0.6187, 0.0000], [0.3813, 0.3813, 0.3813], [0.6187, 0.0000, 0.0000], [0.0000, 0.1925, 0.3841], [0.0000, 0.3841, 0.1925], [0.0000, 0.4208, 0.6855], [0.0000, 0.6855, 0.4208], [0.1916, 0.8075, 0.8075], [0.1925, 0.0000, 0.3841], [0.1925, 0.3841, 0.0000], [0.2648, 0.5792, 0.5792], [0.3145, 0.3145, 0.7352], [0.3145, 0.7352, 0.3145], [0.3841, 0.0000, 0.1925], [0.3841, 0.1925, 0.0000], [0.4208, 0.0000, 0.6855], [0.4208, 0.6855, 0.0000], [0.5792, 0.2648, 0.5792], [0.5792, 0.5792, 0.2648], [0.6159, 0.6159, 0.8084], [0.6159, 0.8084, 0.6159], [0.6855, 0.0000, 0.4208], [0.6855, 0.4208, 0.0000], [0.7352, 0.3145, 0.3145], [0.8075, 0.1916, 0.8075], [0.8075, 0.8075, 0.1916], [0.8084, 0.6159, 0.6159]]}

No. 4
{"formula": "Sb3Au", "functional": "meta-GGA SCAN", "state": "single point on PBEsol structure", "final_energy_ev_per_atom": -45.242, "m_tot_mub_per_cell": 0.0, "spacegroup": "Im-3m", "mass_density_g_cm3": 9.26, "lattice_angstrom": [[-2.9318, 2.9318, 2.9318], [2.9318, -2.9318, 2.9318], [2.9318, 2.9318, -2.9318]], "species": ["Sb", "Sb", "Sb", "Au"], "fractional_positions": [[0.0000, 0.5000, 0.5000], [0.5000, 0.0000, 0.5000], [0.5000, 0.5000, 0.0000], [0.0000, 0.0000, 0.0000]]}

No. 5
{"formula": "SbAu8", "functional": "meta-GGA SCAN", "state": "single point on PBEsol structure", "final_energy_ev_per_atom": -65.560, "m_tot_mub_per_cell": 0.0, "spacegroup": "I4/mmm", "mass_density_g_cm3": 17.66, "lattice_angstrom": [[-4.4018, 4.4018, 2.0593], [4.4018, -4.4018, 2.0593], [4.4018, 4.4018, -2.0593]], "species": ["Sb", "Au", "Au", "Au", "Au", "Au", "Au", "Au", "Au"], "fractional_positions": [[0.0000, 0.0000, 0.0000], [0.0000, 0.3365, 0.3365], [0.0000, 0.6635, 0.6635], [0.3300, 0.3300, 0.6601], [0.3300, 0.6700, 0.0000], [0.3365, 0.0000, 0.3365], [0.6635, 0.0000, 0.6635], [0.6700, 0.3300, 0.0000], [0.6700, 0.6700, 0.3399]]}

No. 6
{"formula": "Sb5Au3", "functional": "meta-GGA SCAN", "state": "single point on PBEsol structure", "final_energy_ev_per_atom": -49.029, "m_tot_mub_per_cell": 0.0, "spacegroup": "Cmmm", "mass_density_g_cm3": 10.74, "lattice_angstrom": [[4.0635, -5.3514, 0.0000], [4.0635, 5.3514, 0.0000], [0.0000, 0.0000, 4.2665]], "species": ["Sb", "Sb", "Sb", "Sb", "Sb", "Au", "Au", "Au"], "fractional_positions": [[0.0000, 0.0000, 0.0000], [0.0000, 0.5000, 0.0000], [0.2694, 0.2694, 0.5000], [0.5000, 0.0000, 0.0000], [0.7306, 0.7306, 0.5000], [0.2913, 0.7087, 0.5000], [0.5000, 0.5000, 0.0000], [0.7087, 0.2913, 0.5000]]}

No. 7
{"formula": "Sc3SbAu", "functional": "meta-GGA SCAN", "state": "single point on PBEsol structure", "final_energy_ev_per_atom": -29.639, "m_tot_mub_per_cell": 1.5, "spacegroup": "Pm-3m", "mass_density_g_cm3": 5.36, "lattice_angstrom": [[5.1981, 0.0000, 0.0000], [0.0000, 5.1981, 0.0000], [0.0000, 0.0000, 5.1981]], "species": ["Sc", "Sc", "Sc", "Sb", "Au"], "fractional_positions": [[0.0000, 0.0000, 0.5000], [0.0000, 0.5000, 0.0000], [0.5000, 0.0000, 0.0000], [0.0000, 0.0000, 0.0000], [0.5000, 0.5000, 0.5000]]}

No. 8
{"formula": "ScSb2Au", "functional": "meta-GGA SCAN", "state": "single point on PBEsol structure", "final_energy_ev_per_atom": -39.982, "m_tot_mub_per_cell": 0.0, "spacegroup": "P4mm", "mass_density_g_cm3": 9.07, "lattice_angstrom": [[3.9080, 0.0000, 0.0000], [0.0000, 3.9080, 0.0000], [0.0000, 0.0000, 5.8209]], "species": ["Sc", "Sb", "Sb", "Au"], "fractional_positions": [[0.0000, 0.0000, 0.0000], [0.0000, 0.0000, 0.4884], [0.5000, 0.5000, 0.8414], [0.5000, 0.5000, 0.3264]]}

No. 9
{"formula": "ScSb2Au", "functional": "meta-GGA SCAN", "state": "single point on PBEsol structure", "final_energy_ev_per_atom": -40.031, "m_tot_mub_per_cell": 0.0, "spacegroup": "Cm", "mass_density_g_cm3": 9.11, "lattice_angstrom": [[5.3596, -1.9282, 0.0000], [5.3596, 1.9282, 0.0000], [-0.5984, 0.0000, 4.2811]], "species": ["Sc", "Sb", "Sb", "Au"], "fractional_positions": [[0.0000, 0.0000, 0.0000], [0.2757, 0.2757, 0.9538], [0.5546, 0.5546, 0.5206], [0.8133, 0.8133, 0.4555]]}

No. 10
{"formula": "ScSb2Au", "functional": "meta-GGA SCAN", "state": "single point on PBEsol structure", "final_energy_ev_per_atom": -39.881, "m_tot_mub_per_cell": 0.0, "spacegroup": "Immm", "mass_density_g_cm3": 9.27, "lattice_angstrom": [[-2.0196, 2.3414, 4.5952], [2.0196, -2.3414, 4.5952], [2.0196, 2.3414, -4.5952]], "species": ["Sc", "Sb", "Sb", "Au"], "fractional_positions": [[0.0000, 0.0000, 0.0000], [0.2577, 0.7577, 0.5000], [0.7423, 0.2423, 0.5000], [0.5000, 0.5000, 0.0000]]}

No. 11
{"formula": "Sb3AuSe", "functional": "meta-GGA SCAN", "state": "single point on PBEsol structure", "final_energy_ev_per_atom": -39.501, "m_tot_mub_per_cell": 0.0, "spacegroup": "Pm-3m", "mass_density_g_cm3": 7.24, "lattice_angstrom": [[5.2784, 0.0000, 0.0000], [0.0000, 5.2784, 0.0000], [0.0000, 0.0000, 5.2784]], "species": ["Sb", "Sb", "Sb", "Au", "Se"], "fractional_positions": [[0.0000, 0.0000, 0.5000], [0.0000, 0.5000, 0.0000], [0.5000, 0.0000, 0.0000], [0.0000, 0.0000, 0.0000], [0.5000, 0.5000, 0.5000]]}

No. 12
{"formula": "SbAuSe2", "functional": "meta-GGA SCAN", "state": "single point on PBEsol structure", "final_energy_ev_per_atom": -36.485, "m_tot_mub_per_cell": 0.0, "spacegroup": "R-3m", "mass_density_g_cm3": 7.79, "lattice_angstrom": [[1.8565, 1.0719, 8.5092], [-1.8565, 1.0719, 8.5092], [0.0000, -2.1437, 8.5092]], "species": ["Sb", "Au", "Se", "Se"], "fractional_positions": [[0.0000, 0.0000, 0.0000], [0.5000, 0.5000, 0.5000], [0.1088, 0.1088, 0.1088], [0.8912, 0.8912, 0.8912]]}

No. 13
{"formula": "SbAuSe2", "functional": "meta-GGA SCAN", "state": "single point on PBEsol structure", "final_energy_ev_per_atom": -36.259, "m_tot_mub_per_cell": 0.0, "spacegroup": "P4/mmm", "mass_density_g_cm3": 9.62, "lattice_angstrom": [[3.4943, 0.0000, 0.0000], [0.0000, 3.4943, 0.0000], [0.0000, 0.0000, 6.7411]], "species": ["Sb", "Au", "Se", "Se"], "fractional_positions": [[0.0000, 0.0000, 0.0000], [0.0000, 0.0000, 0.5000], [0.5000, 0.5000, 0.2613], [0.5000, 0.5000, 0.7387]]}

No. 14
{"formula": "SbAuSe2", "functional": "meta-GGA SCAN", "state": "single point on PBEsol structure", "final_energy_ev_per_atom": -36.511, "m_tot_mub_per_cell": 0.0, "spacegroup": "Immm", "mass_density_g_cm3": 8.49, "lattice_angstrom": [[-1.9168, 2.3863, 5.0969], [1.9168, -2.3863, 5.0969], [1.9168, 2.3863, -5.0969]], "species": ["Sb", "Au", "Se", "Se"], "fractional_positions": [[0.0000, 0.0000, 0.0000], [0.5000, 0.5000, 0.0000], [0.3272, 0.8272, 0.5000], [0.6728, 0.1728, 0.5000]]}

No. 15
{"formula": "SbAuSe", "functional": "meta-GGA SCAN", "state": "single point on PBEsol structure", "final_energy_ev_per_atom": -42.016, "m_tot_mub_per_cell": 0.0, "spacegroup": "Fmm2", "mass_density_g_cm3": 9.87, "lattice_angstrom": [[0.0000, 2.9539, 5.6916], [1.9907, 0.0000, 5.6916], [1.9907, 2.9539, 0.0000]], "species": ["Sb", "Au", "Se"], "fractional_positions": [[0.0000, 0.0000, 0.0000], [0.6614, 0.6614, 0.3386], [0.3085, 0.3085, 0.6915]]}

No. 16
{"formula": "SbAu2Se", "functional": "meta-GGA SCAN", "state": "single point on PBEsol structure", "final_energy_ev_per_atom": -49.006, "m_tot_mub_per_cell": 0.0, "spacegroup": "R-3m", "mass_density_g_cm3": 11.70, "lattice_angstrom": [[1.9526, 1.1273, 6.3907], [-1.9526, 1.1273, 6.3907], [0.0000, -2.2547, 6.3907]], "species": ["Sb", "Au", "Au", "Se"], "fractional_positions": [[0.0000, 0.0000, 0.0000], [0.2477, 0.2477, 0.2477], [0.7523, 0.7523, 0.7523], [0.5000, 0.5000, 0.5000]]}

No. 17
{"formula": "SbAu2Se", "functional": "meta-GGA SCAN", "state": "single point on PBEsol structure", "final_energy_ev_per_atom": -48.582, "m_tot_mub_per_cell": 0.0, "spacegroup": "I-4m2", "mass_density_g_cm3": 12.33, "lattice_angstrom": [[-2.2359, 2.2359, 4.0037], [2.2359, -2.2359, 4.0037], [2.2359, 2.2359, -4.0037]], "species": ["Sb", "Au", "Au", "Se"], "fractional_positions": [[0.0000, 0.0000, 0.0000], [0.2500, 0.7500, 0.5000], [0.5000, 0.5000, 0.0000], [0.7500, 0.2500, 0.5000]]}

No. 18
{"formula": "SbAuSe", "functional": "meta-GGA SCAN", "state": "single point on PBEsol structure", "final_energy_ev_per_atom": -42.332, "m_tot_mub_per_cell": 0.0, "spacegroup": "P3m1", "mass_density_g_cm3": 9.85, "lattice_angstrom": [[3.9612, 0.0000, 0.0000], [-1.9806, 3.4305, 0.0000], [0.0000, 0.0000, 4.9320]], "species": ["Sb", "Au", "Se"], "fractional_positions": [[0.0000, 0.0000, 0.0000], [0.6667, 0.3333, 0.3106], [0.3333, 0.6667, 0.6057]]}

No. 19
{"formula": "SbAu2Se", "functional": "meta-GGA SCAN", "state": "single point on PBEsol structure", "final_energy_ev_per_atom": -48.918, "m_tot_mub_per_cell": 0.0, "spacegroup": "C2/m", "mass_density_g_cm3": 11.59, "lattice_angstrom": [[5.8029, -1.8095, 0.0000], [5.8029, 1.8095, 0.0000], [-1.6424, 0.0000, 4.0562]], "species": ["Sb", "Au", "Au", "Se"], "fractional_positions": [[0.0000, 0.0000, 0.0000], [0.2522, 0.2522, 0.2522], [0.7478, 0.7478, 0.7478], [0.5000, 0.5000, 0.5000]]}

No. 20
{"formula": "SbAu2Se", "functional": "meta-GGA SCAN", "state": "single point on PBEsol structure", "final_energy_ev_per_atom": -49.010, "m_tot_mub_per_cell": 0.0, "spacegroup": "Cm", "mass_density_g_cm3": 11.61, "lattice_angstrom": [[3.4172, -1.9688, 0.0000], [3.4172, 1.9688, 0.0000], [-2.2756, 0.0000, 6.3233]], "species": ["Sb", "Au", "Au", "Se"], "fractional_positions": [[0.0000, 0.0000, 0.0000], [0.2557, 0.2557, 0.7667], [0.5093, 0.5093, 0.5276], [0.7713, 0.7713, 0.3129]]}

No. 21
{"formula": "SbAuSe3", "functional": "meta-GGA SCAN", "state": "single point on PBEsol structure", "final_energy_ev_per_atom": -32.501, "m_tot_mub_per_cell": 0.0, "spacegroup": "Pm-3m", "mass_density_g_cm3": 6.57, "lattice_angstrom": [[5.1965, 0.0000, 0.0000], [0.0000, 5.1965, 0.0000], [0.0000, 0.0000, 5.1965]], "species": ["Sb", "Au", "Se", "Se", "Se"], "fractional_positions": [[0.0000, 0.0000, 0.0000], [0.5000, 0.5000, 0.5000], [0.0000, 0.0000, 0.5000], [0.0000, 0.5000, 0.0000], [0.5000, 0.0000, 0.0000]]}

No. 22
{"formula": "SiSbAu2", "functional": "meta-GGA SCAN", "state": "single point on PBEsol structure", "final_energy_ev_per_atom": -46.043, "m_tot_mub_per_cell": 0.0, "spacegroup": "Fm-3m", "mass_density_g_cm3": 11.85, "lattice_angstrom": [[0.0000, 3.3646, 3.3646], [3.3646, 0.0000, 3.3646], [3.3646, 3.3646, 0.0000]], "species": ["Si", "Sb", "Au", "Au"], "fractional_positions": [[0.0000, 0.0000, 0.0000], [0.5000, 0.5000, 0.5000], [0.2500, 0.2500, 0.2500], [0.7500, 0.7500, 0.7500]]}

No. 23
{"formula": "SiSbAu2", "functional": "meta-GGA SCAN", "state": "single point on PBEsol structure", "final_energy_ev_per_atom": -46.391, "m_tot_mub_per_cell": 0.0, "spacegroup": "R3m", "mass_density_g_cm3": 11.39, "lattice_angstrom": [[1.8777, 1.0841, 6.4921], [-1.8777, 1.0841, 6.4921], [0.0000, -2.1682, 6.4921]], "species": ["Si", "Sb", "Au", "Au"], "fractional_positions": [[0.0000, 0.0000, 0.0000], [0.2347, 0.2347, 0.2347], [0.4815, 0.4815, 0.4815], [0.7274, 0.7274, 0.7274]]}

No. 24
{"formula": "Si2SbAu", "functional": "meta-GGA SCAN", "state": "single point on PBEsol structure", "final_energy_ev_per_atom": -31.276, "m_tot_mub_per_cell": 0.0, "spacegroup": "Fmmm", "mass_density_g_cm3": 8.30, "lattice_angstrom": [[0.0000, 2.9078, 4.8174], [2.6766, 0.0000, 4.8174], [2.6766, 2.9078, 0.0000]], "species": ["Si", "Si", "Sb", "Au"], "fractional_positions": [[0.0000, 0.5000, 0.5000], [0.5000, 0.0000, 0.0000], [0.0000, 0.0000, 0.0000], [0.5000, 0.5000, 0.5000]]}

No. 25
{"formula": "SiSbAu2", "functional": "meta-GGA SCAN", "state": "single point on PBEsol structure", "final_energy_ev_per_atom": -46.152, "m_tot_mub_per_cell": 0.0, "spacegroup": "Pmm2", "mass_density_g_cm3": 11.74, "lattice_angstrom": [[3.1163, 0.0000, 0.0000], [0.0000, 4.0086, 0.0000], [0.0000, 0.0000, 6.1576]], "species": ["Si", "Sb", "Au", "Au"], "fractional_positions": [[0.0000, 0.0000, 0.0000], [0.5000, 0.5000, 0.6581], [0.0000, 0.0000, 0.4092], [0.5000, 0.5000, 0.1355]]}

No. 26
{"formula": "SiSbAu2", "functional": "meta-GGA SCAN", "state": "single point on PBEsol structure", "final_energy_ev_per_atom": -46.434, "m_tot_mub_per_cell": 0.0, "spacegroup": "C2/m", "mass_density_g_cm3": 11.62, "lattice_angstrom": [[3.6676, -1.7982, 0.0000], [3.6676, 1.7982, 0.0000], [-1.7176, 0.0000, 5.8901]], "species": ["Si", "Sb", "Au", "Au"], "fractional_positions": [[0.0000, 0.0000, 0.0000], [0.5000, 0.5000, 0.5000], [0.2616, 0.2616, 0.7982], [0.7384, 0.7384, 0.2018]]}

No. 27
{"formula": "SiSbAu2", "functional": "meta-GGA SCAN", "state": "single point on PBEsol structure", "final_energy_ev_per_atom": -46.349, "m_tot_mub_per_cell": 0.0, "spacegroup": "Pm", "mass_density_g_cm3": 11.32, "lattice_angstrom": [[4.7009, 0.0000, 0.0000], [0.0000, 3.7702, 0.0000], [-1.6754, 0.0000, 4.4990]], "species": ["Si", "Sb", "Au", "Au"], "fractional_positions": [[0.0000, 0.0000, 0.0000], [0.2591, 0.5000, 0.7312], [0.5249, 0.0000, 0.4687], [0.7853, 0.5000, 0.2067]]}

No. 28
{"formula": "SiSbAu2", "functional": "meta-GGA SCAN", "state": "single point on PBEsol structure", "final_energy_ev_per_atom": -46.380, "m_tot_mub_per_cell": 0.0, "spacegroup": "Cmmm", "mass_density_g_cm3": 11.44, "lattice_angstrom": [[2.8210, -3.3986, 0.0000], [2.8210, 3.3986, 0.0000], [0.0000, 0.0000, 4.1172]], "species": ["Si", "Sb", "Au", "Au"], "fractional_positions": [[0.0000, 0.0000, 0.0000], [0.5000, 0.5000, 0.0000], [0.2147, 0.7853, 0.5000], [0.7853, 0.2147, 0.5000]]}